# FeTc2Mo

FeTc2Mo after structural relaxation (GGA-PBE, Alexandria).

Cell: 2.640 4.340 5.095 Å, 90.00 98.99 90.00°
Element x y z (fractional)
Fe 0.000 0.000 0.000
Tc 0.263 0.500 0.759
Tc 0.737 0.500 0.241
Mo 0.500 0.000 0.500

**Formation energy from the elements**: 0.13 eV/atom
**Magnetization**: 2.78 μB per cell
**SG**: No. 10

---

# FeTc2Mo

FeTc2Mo after structural relaxation (GGA-PBE, Alexandria).

Cell: 4.332 4.332 4.332 Å, 60.00 60.00 60.00°
Element x y z (fractional)
Fe 0.000 0.000 0.000
Tc 0.500 0.500 0.500
Tc 0.750 0.750 0.750
Mo 0.250 0.250 0.250

**Formation energy from the elements**: 0.17 eV/atom
**Magnetization**: 3.01 μB per cell
**SG**: No. 216

---

# FeTc2Mo

FeTc2Mo after structural relaxation (GGA-PBE, Alexandria).

Cell: 2.699 2.699 7.694 Å, 90.00 90.00 90.00°
Element x y z (fractional)
Fe 0.000 0.000 0.000
Tc 0.000 0.000 0.516
Tc 0.500 0.500 0.772
Mo 0.500 0.500 0.241

**Formation energy from the elements**: 0.14 eV/atom
**Magnetization**: 1.23 μB per cell
**SG**: No. 99

---

# FeTcMo2

FeTcMo2 after structural relaxation (GGA-PBE, Alexandria).

Cell: 5.513 5.513 5.513 Å, 102.85 102.85 123.71°
Element x y z (fractional)
Fe 0.000 0.000 0.000
Fe 0.750 0.250 0.500
Tc 0.250 0.750 0.500
Tc 0.500 0.500 0.000
Mo 0.110 0.125 0.485
Mo 0.375 0.890 0.015
Mo 0.640 0.625 0.515
Mo 0.875 0.360 0.985

**Formation energy from the elements**: 0.73 eV/atom
**Magnetization**: 2.92 μB per cell
**Distance to the lowest polymorph of the same formula**: 0.624 eV per atom
**SG**: No. 122

---

Q: Look up the formation energy from the elements of the third one.
A: 0.14 eV/atom